Here is crystalline BaTe3H at its relaxed geometry from Alexandria. Energies are from PBE.

a = 6.8522 Å, b = 6.8522 Å, c = 6.8522 Å
α = 90.00°, β = 90.00°, γ = 90.00°
Last column: nearest neighbours and their distance in Å.
Fractional positions:
Te1 0.0000 0.0000 0.5000  2 Ba 3.43
Te2 0.5000 0.0000 0.0000  2 Ba 3.43
Te3 0.0000 0.5000 0.0000  2 Ba 3.43
H1 0.5000 0.5000 0.5000  12 Te 4.85
Ba1 0.0000 0.0000 0.0000  6 Te 3.43

Output
For the relative energy among the computed polymorphs, the calculation gives 821 meV per atom. The spin magnetization is 5.0 μB/f.u. The crystal system is cubic. The calculated volume comes out at 64.345 A^3/atom.